Record 1
DFT (GGA-PBE) results for a relaxed structure of LaSiTe2.

SG: No. 12
ΔE_f (raw) (meV per atom): -657

Cell: 5.859 5.859 4.078 Å, 110.29 110.29 57.49°
Sites, in units of the cell vectors:
La1 0.000 0.000 0.000
Si1 0.500 0.500 0.500
Te1 0.297 0.297 0.798
Te2 0.703 0.703 0.202

---

Record 2
DFT (GGA-PBE) results for a relaxed structure of NaHoBr4.

SG: No. 15
ΔE_f (raw) (meV per atom): -1734

Cell: 9.771 9.771 7.093 Å, 104.87 104.87 127.20°
Sites, in units of the cell vectors:
Na1 0.090 0.910 0.750
Na2 0.910 0.090 0.250
Ho1 0.422 0.578 0.250
Ho2 0.578 0.422 0.750
Br1 0.091 0.450 0.246
Br2 0.226 0.315 0.770
Br3 0.315 0.226 0.270
Br4 0.450 0.091 0.746
Br5 0.550 0.909 0.254
Br6 0.685 0.774 0.730
Br7 0.774 0.685 0.230
Br8 0.909 0.550 0.754

---

Record 3
DFT (GGA-PBE) results for a relaxed structure of Ba2GeTePd6.

SG: No. 12
ΔE_f (raw) (meV per atom): -628

Cell: 6.851 6.851 8.497 Å, 125.23 125.23 50.31°
Sites, in units of the cell vectors:
Ba1 0.249 0.249 0.209
Ba2 0.751 0.751 0.791
Ge1 0.000 0.000 0.500
Te1 0.500 0.500 0.000
Pd1 0.222 0.728 0.714
Pd2 0.246 0.246 0.614
Pd3 0.272 0.778 0.286
Pd4 0.728 0.222 0.714
Pd5 0.754 0.754 0.386
Pd6 0.778 0.272 0.286

---

Record 4
DFT (GGA-PBE) results for a relaxed structure of NaVW2.

Formation energy (meV per atom): 266
SG: No. 1

Cell: 2.758 2.758 19.644 Å, 89.67 89.41 69.81°
Sites, in units of the cell vectors:
Na1 0.000 0.000 0.000
Na2 0.455 0.493 0.834
V1 0.490 0.503 0.356
V2 0.505 0.507 0.143
W1 0.474 0.500 0.578
W2 0.967 0.998 0.691
W3 0.982 0.002 0.463
W4 0.997 0.005 0.247

---

Record 5
DFT (GGA-PBE) results for a relaxed structure of BaAlRh2.

Formation energy (meV per atom): -176
SG: No. 44

Cell: 7.566 7.566 7.566 Å, 155.44 151.36 38.07°
Sites, in units of the cell vectors:
Ba1 0.000 0.000 0.000
Al1 0.744 0.244 0.500
Rh1 0.199 0.699 0.500
Rh2 0.362 0.362 0.000

---

Record 6
DFT (GGA-PBE) results for a relaxed structure of Cu2TcIr.

Formation energy (meV per atom): 314
SG: No. 225

Cell: 4.207 4.207 4.207 Å, 60.00 60.00 60.00°
Sites, in units of the cell vectors:
Cu1 0.250 0.250 0.250
Cu2 0.750 0.750 0.750
Tc1 0.000 0.000 0.000
Ir1 0.500 0.500 0.500

---

Record 7
DFT (GGA-PBE) results for a relaxed structure of TaMoAu2.

Formation energy (meV per atom): 158
SG: No. 123

Cell: 2.825 2.825 8.580 Å, 90.00 90.00 90.00°
Sites, in units of the cell vectors:
Ta1 0.000 0.000 0.000
Mo1 0.000 0.000 0.500
Au1 0.500 0.500 0.251
Au2 0.500 0.500 0.749

---

Record 8
DFT (GGA-PBE) results for a relaxed structure of ErPS.

SG: No. 129
ΔE_f (raw) (meV per atom): -1511

Cell: 3.668 3.668 8.419 Å, 90.00 90.00 90.00°
Sites, in units of the cell vectors:
Er1 0.250 0.250 0.221
Er2 0.750 0.750 0.779
P1 0.250 0.750 0.500
P2 0.750 0.250 0.500
S1 0.250 0.250 0.875
S2 0.750 0.750 0.125

---

Record 9
DFT (GGA-PBE) results for a relaxed structure of La2Pm7Nd.

Formation energy (meV per atom): 147
SG: No. 65

Cell: 15.095 15.095 3.546 Å, 90.00 90.00 153.95°
Sites, in units of the cell vectors:
La1 0.206 0.794 0.000
La2 0.794 0.206 0.000
Pm1 0.000 0.000 0.000
Pm2 0.155 0.353 0.000
Pm3 0.313 0.687 0.500
Pm4 0.353 0.155 0.000
Pm5 0.647 0.845 0.000
Pm6 0.687 0.313 0.500
Pm7 0.845 0.647 0.000
Nd1 0.500 0.500 0.500

---

Record 10
DFT (GGA-PBE) results for a relaxed structure of TbMg12Rh6.

Formation energy (meV per atom): -235
SG: No. 166

Cell: 7.471 7.471 7.471 Å, 103.88 103.88 103.88°
Sites, in units of the cell vectors:
Tb1 0.000 0.000 0.000
Mg1 0.119 0.500 0.881
Mg2 0.119 0.881 0.500
Mg3 0.170 0.437 0.437
Mg4 0.437 0.170 0.437
Mg5 0.437 0.437 0.170
Mg6 0.500 0.119 0.881
Mg7 0.500 0.881 0.119
Mg8 0.563 0.563 0.830
Mg9 0.563 0.830 0.563
Mg10 0.830 0.563 0.563
Mg11 0.881 0.119 0.500
Mg12 0.881 0.500 0.119
Rh1 0.250 0.250 0.702
Rh2 0.250 0.702 0.250
Rh3 0.298 0.750 0.750
Rh4 0.702 0.250 0.250
Rh5 0.750 0.298 0.750
Rh6 0.750 0.750 0.298

---

Record 11
DFT (GGA-PBE) results for a relaxed structure of LiNd2Nb.

Formation energy (meV per atom): 589
SG: No. 166

Cell: 11.961 11.961 11.961 Å, 15.57 15.57 15.57°
Sites, in units of the cell vectors:
Li1 0.000 0.000 0.000
Nd1 0.417 0.417 0.417
Nd2 0.583 0.583 0.583
Nb1 0.500 0.500 0.500

---

Record 12
DFT (GGA-PBE) results for a relaxed structure of KNa.

Formation energy (meV per atom): 125
SG: No. 225

Cell: 5.509 5.509 5.509 Å, 60.00 60.00 60.00°
Sites, in units of the cell vectors:
K1 0.000 0.000 0.000
Na1 0.500 0.500 0.500